Compound: GaTeSN2
Source: Alexandria via LeMat-Bulk
Functional: PBE-GGA
Structure: optimized geometry

Calculated values
* symmetry: No. 123
* formation energy from raw total energies: 1.456 eV per atom
* energy above the most stable polymorph in this dataset: 259 meV per atom

Lattice parameters (Å, degrees): 3.673 3.673 7.454 90.00 90.00 90.00
Positions (direct):
Ga (0.000, 0.000, 0.000)
Te (0.500, 0.500, 0.000)
S (0.500, 0.500, 0.500)
N (0.000, 0.500, 0.500)
N (0.500, 0.000, 0.500)

---

Compound: Hf2NbZn
Source: Alexandria via LeMat-Bulk
Functional: PBE-GGA
Structure: optimized geometry

Calculated values
* E_tot: -7.354 eV per atom
* symmetry: No. 122

Lattice parameters (Å, degrees): 10.336 10.336 10.336 157.36 157.36 32.23
Positions (direct):
Hf (0.121, 0.625, 0.996)
Hf (0.375, 0.371, 0.496)
Hf (0.629, 0.125, 0.004)
Hf (0.875, 0.879, 0.504)
Nb (0.000, 0.000, 0.000)
Nb (0.750, 0.250, 0.500)
Zn (0.250, 0.750, 0.500)
Zn (0.500, 0.500, 0.000)

---

Compound: Ba2Zn2Ni
Source: Alexandria via LeMat-Bulk
Functional: PBE-GGA
Structure: optimized geometry

Calculated values
* symmetry: No. 127
* energy above the most stable polymorph in this dataset: 239 meV per atom

Lattice parameters (Å, degrees): 7.316 7.316 5.155 90.00 90.00 90.00
Positions (direct):
Ba (0.186, 0.314, 0.000)
Ba (0.314, 0.814, 0.000)
Ba (0.686, 0.186, 0.000)
Ba (0.814, 0.686, 0.000)
Zn (0.129, 0.629, 0.500)
Zn (0.371, 0.129, 0.500)
Zn (0.629, 0.871, 0.500)
Zn (0.871, 0.371, 0.500)
Ni (0.000, 0.000, 0.500)
Ni (0.500, 0.500, 0.500)

---

Compound: LiTiGa
Source: Alexandria via LeMat-Bulk
Functional: PBE-GGA
Structure: optimized geometry

Calculated values
* symmetry: No. 194
* energy above the most stable polymorph in this dataset: 39 meV per atom

Lattice parameters (Å, degrees): 4.532 4.532 5.331 90.00 90.00 120.00
Positions (direct):
Li (0.000, 0.000, 0.000)
Li (0.000, 0.000, 0.500)
Ti (0.333, 0.667, 0.250)
Ti (0.667, 0.333, 0.750)
Ga (0.333, 0.667, 0.750)
Ga (0.667, 0.333, 0.250)